No. 1
This record from Alexandria describes Mg3B7BrO13 after structural relaxation. The functional is PBEsol.

```
Mg3B7BrO13
1.0
0.000 6.048 6.048
6.048 0.000 6.048
6.048 6.048 0.000
Mg B Br O
6 14 2 26
Direct
0.250 0.250 0.750
0.250 0.750 0.250
0.250 0.750 0.750
0.750 0.250 0.250
0.750 0.250 0.750
0.750 0.750 0.250
0.000 0.000 0.500
0.000 0.500 0.000
0.000 0.500 0.500
0.010 0.330 0.330
0.330 0.010 0.330
0.330 0.330 0.010
0.330 0.330 0.330
0.500 0.000 0.000
0.500 0.000 0.500
0.500 0.500 0.000
0.510 0.830 0.830
0.830 0.510 0.830
0.830 0.830 0.510
0.830 0.830 0.830
0.000 0.000 0.000
0.500 0.500 0.500
0.009 0.452 0.853
0.009 0.687 0.452
0.009 0.853 0.687
0.187 0.353 0.509
0.187 0.509 0.952
0.187 0.952 0.353
0.250 0.250 0.250
0.353 0.187 0.952
0.353 0.509 0.187
0.353 0.952 0.509
0.452 0.009 0.687
0.452 0.687 0.853
0.452 0.853 0.009
0.509 0.187 0.353
0.509 0.353 0.952
0.509 0.952 0.187
0.687 0.009 0.853
0.687 0.452 0.009
0.687 0.853 0.452
0.750 0.750 0.750
0.853 0.009 0.452
0.853 0.452 0.687
0.853 0.687 0.009
0.952 0.187 0.509
0.952 0.353 0.187
0.952 0.509 0.353
```

Values from the calculation:
Electronic total energy (eV/f.u.): -185.55
Calculated density (g cm⁻³): 3.28
Magnetization (Bohr magnetons per cell): 0.0

---

No. 2
This record from Alexandria describes MnB2Br after structural relaxation. The functional is PBEsol.

```
MnB2Br
1.0
-2.502 2.502 4.569
2.502 -2.502 4.569
2.502 2.502 -4.569
Mn B Br
2 4 2
Direct
0.000 0.000 0.000
0.750 0.250 0.500
0.066 0.625 0.941
0.375 0.316 0.441
0.684 0.125 0.059
0.875 0.934 0.559
0.250 0.750 0.500
0.500 0.500 0.000
```

Values from the calculation:
Electronic total energy (eV/f.u.): -20.85
Calculated density (g cm⁻³): 4.54
Magnetization (Bohr magnetons per cell): 2.5

---

No. 3
This record from Alexandria describes B2MoBr2 after structural relaxation. The functional is PBEsol.

```
B2MoBr2
1.0
6.208 0.000 0.000
0.000 6.208 0.000
0.000 0.000 4.460
B Mo Br
4 2 4
Direct
0.238 0.262 0.000
0.262 0.762 0.000
0.738 0.238 0.000
0.762 0.738 0.000
0.000 0.000 0.000
0.500 0.500 0.000
0.208 0.292 0.500
0.292 0.792 0.500
0.708 0.208 0.500
0.792 0.708 0.500
```

Values from the calculation:
Electronic total energy (eV/f.u.): -23.31
Calculated density (g cm⁻³): 5.36
Magnetization (Bohr magnetons per cell): 1.0

---

No. 4
This record from Alexandria describes BTeBrN2 after structural relaxation. The functional is PBEsol.

```
BTeBrN2
1.0
3.765 0.000 0.000
0.000 3.765 0.000
0.000 0.000 4.306
B Te Br N
1 1 1 2
Direct
0.000 0.000 0.000
0.500 0.500 0.500
0.000 0.000 0.500
0.000 0.500 0.000
0.500 0.000 0.000
```

Values from the calculation:
Electronic total energy (eV/f.u.): -21.23
Calculated density (g cm⁻³): 6.70
Magnetization (Bohr magnetons per cell): 0.0

---

No. 5
This record from Alexandria describes RbNa2B6BrO10 after structural relaxation. The functional is PBEsol.

```
RbNa2B6BrO10
1.0
12.798 0.000 0.000
0.000 9.575 0.000
0.000 0.000 8.469
Rb Na B Br O
4 8 24 4 40
Direct
0.000 0.000 0.000
0.000 0.500 0.000
0.500 0.000 0.500
0.500 0.500 0.500
0.000 0.000 0.500
0.000 0.500 0.500
0.202 0.250 0.246
0.298 0.750 0.746
0.500 0.000 0.000
0.500 0.500 0.000
0.702 0.250 0.254
0.798 0.750 0.754
0.024 0.750 0.300
0.171 0.250 0.609
0.191 0.614 0.280
0.191 0.886 0.280
0.235 0.012 0.533
0.235 0.488 0.533
0.265 0.512 0.033
0.265 0.988 0.033
0.309 0.114 0.780
0.309 0.386 0.780
0.329 0.750 0.109
0.476 0.250 0.800
0.524 0.750 0.200
0.671 0.250 0.891
0.691 0.614 0.220
0.691 0.886 0.220
0.735 0.012 0.967
0.735 0.488 0.967
0.765 0.512 0.467
0.765 0.988 0.467
0.809 0.114 0.720
0.809 0.386 0.720
0.829 0.750 0.391
0.976 0.250 0.700
0.055 0.750 0.733
0.445 0.250 0.233
0.555 0.750 0.767
0.945 0.250 0.267
0.077 0.625 0.300
0.077 0.875 0.300
0.082 0.250 0.713
0.172 0.127 0.505
0.172 0.373 0.505
0.208 0.000 0.169
0.208 0.500 0.169
0.229 0.750 0.206
0.244 0.594 0.428
0.244 0.906 0.428
0.256 0.094 0.928
0.256 0.406 0.928
0.271 0.250 0.706
0.292 0.000 0.669
0.292 0.500 0.669
0.328 0.627 0.005
0.328 0.873 0.005
0.418 0.750 0.213
0.423 0.125 0.800
0.423 0.375 0.800
0.577 0.625 0.200
0.577 0.875 0.200
0.582 0.250 0.787
0.672 0.127 0.995
0.672 0.373 0.995
0.708 0.000 0.331
0.708 0.500 0.331
0.729 0.750 0.294
0.744 0.594 0.072
0.744 0.906 0.072
0.756 0.094 0.572
0.756 0.406 0.572
0.771 0.250 0.794
0.792 0.000 0.831
0.792 0.500 0.831
0.828 0.627 0.495
0.828 0.873 0.495
0.918 0.750 0.287
0.923 0.125 0.700
0.923 0.375 0.700
```

Values from the calculation:
Electronic total energy (eV/f.u.): -147.40
Calculated density (g cm⁻³): 2.79
Magnetization (Bohr magnetons per cell): 0.5

---

No. 6
This record from Alexandria describes NaB2TeBr after structural relaxation. The functional is PBEsol.

```
NaB2TeBr
1.0
4.485 0.000 0.000
0.000 4.485 0.000
0.000 0.000 5.856
Na B Te Br
1 2 1 1
Direct
0.000 0.000 0.000
0.000 0.500 0.500
0.500 0.000 0.500
0.500 0.500 0.000
0.500 0.500 0.500
```

Values from the calculation:
Electronic total energy (eV/f.u.): -12.54
Calculated density (g cm⁻³): 3.55
Magnetization (Bohr magnetons per cell): 0.0

---

No. 7
This record from Alexandria describes Nb2BBr after structural relaxation. The functional is PBEsol.

```
Nb2BBr
1.0
0.000 3.066 3.066
3.066 0.000 3.066
3.066 3.066 0.000
Nb B Br
2 1 1
Direct
0.250 0.250 0.250
0.750 0.750 0.750
0.000 0.000 0.000
0.500 0.500 0.500
```

Values from the calculation:
Electronic total energy (eV/f.u.): -29.03
Calculated density (g cm⁻³): 7.97
Magnetization (Bohr magnetons per cell): 0.0

---

No. 8
This record from Alexandria describes Ni3B7BrO13 after structural relaxation. The functional is PBEsol.

```
Ni3B7BrO13
1.0
8.479 0.000 0.000
0.000 8.486 0.000
0.000 0.000 11.991
Ni B Br O
12 28 4 52
Direct
0.017 0.030 0.000
0.018 0.469 0.998
0.243 0.251 0.278
0.257 0.251 0.778
0.482 0.469 0.498
0.483 0.030 0.500
0.517 0.970 0.000
0.518 0.531 0.998
0.743 0.749 0.278
0.757 0.749 0.778
0.982 0.531 0.498
0.983 0.970 0.500
0.000 0.001 0.752
0.000 0.999 0.252
0.003 0.497 0.751
0.048 0.750 0.152
0.094 0.749 0.678
0.245 0.746 0.004
0.247 0.904 0.832
0.249 0.596 0.831
0.251 0.596 0.331
0.253 0.904 0.332
0.255 0.746 0.504
0.406 0.749 0.178
0.452 0.750 0.652
0.497 0.497 0.251
0.500 0.001 0.252
0.500 0.999 0.752
0.503 0.503 0.751
0.548 0.250 0.152
0.594 0.251 0.678
0.745 0.254 0.004
0.747 0.096 0.832
0.749 0.404 0.831
0.751 0.404 0.331
0.753 0.096 0.332
0.755 0.254 0.504
0.906 0.251 0.178
0.952 0.250 0.652
0.997 0.503 0.251
0.203 0.249 0.979
0.297 0.249 0.479
0.703 0.751 0.979
0.797 0.751 0.479
0.034 0.336 0.232
0.040 0.588 0.146
0.041 0.170 0.730
0.051 0.911 0.654
0.085 0.561 0.347
0.085 0.953 0.852
0.120 0.833 0.067
0.141 0.669 0.577
0.168 0.022 0.269
0.169 0.626 0.935
0.172 0.473 0.769
0.173 0.863 0.435
0.235 0.751 0.760
0.265 0.751 0.260
0.327 0.863 0.935
0.328 0.473 0.269
0.331 0.626 0.435
0.332 0.022 0.769
0.359 0.669 0.077
0.380 0.833 0.567
0.415 0.561 0.847
0.415 0.953 0.352
0.449 0.911 0.154
0.459 0.170 0.230
0.460 0.588 0.646
0.466 0.336 0.732
0.534 0.664 0.232
0.540 0.412 0.146
0.541 0.830 0.730
0.551 0.089 0.654
0.585 0.047 0.852
0.585 0.439 0.347
0.620 0.167 0.067
0.641 0.331 0.577
0.668 0.978 0.269
0.669 0.374 0.935
0.672 0.527 0.769
0.673 0.137 0.435
0.735 0.249 0.760
0.765 0.249 0.260
0.827 0.137 0.935
0.828 0.527 0.269
0.831 0.374 0.435
0.832 0.978 0.769
0.859 0.331 0.077
0.880 0.167 0.567
0.915 0.047 0.352
0.915 0.439 0.847
0.949 0.089 0.154
0.959 0.830 0.230
0.960 0.412 0.646
0.966 0.664 0.732
```

Values from the calculation:
Electronic total energy (eV/f.u.): -184.27
Calculated density (g cm⁻³): 4.15
Magnetization (Bohr magnetons per cell): 22.9

---

No. 9
This record from Alexandria describes BBr2O after structural relaxation. The functional is PBEsol.

```
BBr2O
1.0
1.681 0.970 6.834
-1.681 0.970 6.834
0.000 -1.941 6.834
B Br O
1 2 1
Direct
0.000 0.000 0.000
0.403 0.403 0.403
0.597 0.597 0.597
0.500 0.500 0.500
```

Values from the calculation:
Calculated density (g cm⁻³): 4.63
Magnetization (Bohr magnetons per cell): 0.0
Energy relative to the lowest polymorph listed for this composition (meV/atom): 0.0

---

No. 10
This record from Alexandria describes BBr2O after structural relaxation. The functional is PBEsol.

```
BBr2O
1.0
0.000 3.061 3.061
3.061 0.000 3.061
3.061 3.061 0.000
B Br O
1 2 1
Direct
0.000 0.000 0.000
0.250 0.250 0.250
0.750 0.750 0.750
0.500 0.500 0.500
```

Values from the calculation:
Calculated density (g cm⁻³): 5.40
Magnetization (Bohr magnetons per cell): 1.2
Energy relative to the lowest polymorph listed for this composition (meV/atom): 559.3

---

No. 11
This record from Alexandria describes Rb2BBrO after structural relaxation. The functional is PBEsol.

```
Rb2BBrO
1.0
5.883 0.000 0.000
0.000 5.883 0.000
0.000 0.000 4.238
Rb B Br O
2 1 1 1
Direct
0.000 0.500 0.000
0.500 0.000 0.000
0.000 0.000 0.000
0.000 0.000 0.500
0.500 0.500 0.500
```

Values from the calculation:
Electronic total energy (eV/f.u.): -14.04
Calculated density (g cm⁻³): 3.14
Magnetization (Bohr magnetons per cell): 0.8

---

No. 12
This record from Alexandria describes BSe2BrO after structural relaxation. The functional is PBEsol.

```
BSe2BrO
1.0
4.013 0.000 0.000
0.000 4.013 0.000
0.000 0.000 6.357
B Se Br O
1 2 1 1
Direct
0.000 0.000 0.000
0.000 0.500 0.500
0.500 0.000 0.500
0.500 0.500 0.000
0.500 0.500 0.500
```

Values from the calculation:
Electronic total energy (eV/f.u.): -16.54
Calculated density (g cm⁻³): 4.29
Magnetization (Bohr magnetons per cell): 0.0